Computed, not measured: a geometry-optimized Tm2Ga3Pt4 structure at the GGA-PBE level of DFT.

a b c (Å): 8.1010 8.1010 7.5833
angles (deg): 90.00 90.00 139.74
Last column: nearest neighbours and their distance in Å.
Element x y z (fractional)
Tm  0.1056  0.8944  0.9080  8 Pt 3.03-3.39, 4 Ga 3.09-3.29
Tm  0.3944  0.6056  0.4080  8 Pt 3.03-3.39, 4 Ga 3.09-3.29
Tm  0.6056  0.3944  0.5920  8 Pt 3.03-3.39, 4 Ga 3.09-3.29
Tm  0.8944  0.1056  0.0920  8 Pt 3.03-3.39, 4 Ga 3.09-3.29
Ga  0.0000  0.0000  0.5000  6 Pt 2.52-2.74
Ga  0.0187  0.4813  0.7500  5 Pt 2.58-2.63, 2 Ga 2.79
Ga  0.4813  0.0187  0.2500  5 Pt 2.58-2.63, 2 Ga 2.79
Ga  0.5000  0.5000  0.0000  6 Pt 2.52-2.74
Ga  0.5187  0.9813  0.7500  5 Pt 2.58-2.63, 2 Ga 2.79
Ga  0.9813  0.5187  0.2500  5 Pt 2.58-2.63, 2 Ga 2.79
Pt  0.1798  0.8202  0.5260  5 Ga 2.58-2.74
Pt  0.1908  0.3092  0.7500  3 Ga 2.52-2.62, 2 Pt 2.79
Pt  0.3092  0.1908  0.2500  3 Ga 2.52-2.62, 2 Pt 2.79
Pt  0.3202  0.6798  0.0260  5 Ga 2.58-2.74
Pt  0.6798  0.3202  0.9740  5 Ga 2.58-2.74
Pt  0.6908  0.8092  0.7500  3 Ga 2.52-2.62, 2 Pt 2.79
Pt  0.8092  0.6908  0.2500  3 Ga 2.52-2.62, 2 Pt 2.79
Pt  0.8202  0.1798  0.4740  5 Ga 2.58-2.74

Summary:
For the volume, the calculation gives 322 Å³ per cell. The calculation puts the formation energy at -1.038 eV per atom.

Computed, not measured: a geometry-optimized Si4IrRh structure at the GGA-PBE level of DFT.

a b c (Å): 4.8749 4.8749 4.8749
angles (deg): 60.00 60.00 60.00
Last column: nearest neighbours and their distance in Å.
Element x y z (fractional)
Si  0.1250  0.1250  0.1250  6 Si 2.44
Si  0.1250  0.1250  0.6249  6 Si 2.44
Si  0.1250  0.6249  0.1250  6 Si 2.44
Si  0.6249  0.1250  0.1250  6 Si 2.44
Ir  0.7500  0.7500  0.7500  12 Si 2.86, 4 Rh 2.99
Rh  0.5000  0.5000  0.5000  12 Si 2.86, 4 Ir 2.99

Summary:
For the volume, the calculation gives 82 Å³ per cell. For the formation energy (no corrections), the calculation gives 0.3686 eV per atom.

Computed, not measured: a geometry-optimized Ti3PtC structure at the GGA-PBE level of DFT.

a b c (Å): 5.3978 5.3978 6.8769
angles (deg): 90.00 90.00 133.14
Last column: nearest neighbours and their distance in Å.
Element x y z (fractional)
Ti  0.0493  0.9507  0.7500  2 C 2.15
Ti  0.3703  0.6297  0.5520  2 C 2.17-2.26
Ti  0.3703  0.6297  0.9480  2 C 2.17-2.26
Ti  0.6297  0.3703  0.0520  2 C 2.17-2.26
Ti  0.6297  0.3703  0.4480  2 C 2.17-2.26
Ti  0.9507  0.0493  0.2500  2 C 2.15
Pt  0.2228  0.7772  0.2500  1 C 2.34, 2 Ti 2.54
Pt  0.7772  0.2228  0.7500  1 C 2.34, 2 Ti 2.54
C  0.4594  0.5406  0.2500  6 Ti 2.15-2.26, 1 Pt 2.34
C  0.5406  0.4594  0.7500  6 Ti 2.15-2.26, 1 Pt 2.34

Summary:
For the volume, the calculation gives 146 Å³ per cell. As for the energy relative to the lowest polymorph listed for this composition: 198 meV per atom. The calculation puts the formation energy at -0.627 eV per atom.

Computed, not measured: a geometry-optimized KGeTe3 structure at the GGA-PBE level of DFT.

a b c (Å): 7.0357 7.0357 7.0357
angles (deg): 78.42 78.42 78.42
Last column: nearest neighbours and their distance in Å.
Element x y z (fractional)
K  0.0000  0.0000  0.0000  2 Ge 3.52-3.70, 9 Te 3.61-3.68
K  0.5000  0.5000  0.5000  2 Ge 3.52-3.70, 9 Te 3.61-3.68
Ge  0.2562  0.2562  0.2562  3 Te 2.72
Ge  0.7562  0.7562  0.7562  3 Te 2.72
Te  0.1148  0.9395  0.4884  1 Ge 2.72
Te  0.4395  0.6148  0.9884  1 Ge 2.72
Te  0.4884  0.1148  0.9395  1 Ge 2.72
Te  0.6148  0.9884  0.4395  1 Ge 2.72
Te  0.9395  0.4884  0.1148  1 Ge 2.72
Te  0.9884  0.4395  0.6148  1 Ge 2.72

Summary:
For the volume, the calculation gives 330 Å³ per cell. For the formation energy (no corrections), the calculation gives -0.2174 eV per atom.

Computed, not measured: a geometry-optimized Ta2OsAu structure at the GGA-PBE level of DFT.

a b c (Å): 9.2385 9.2385 9.2385
angles (deg): 18.65 18.65 18.65
Last column: nearest neighbours and their distance in Å.
Element x y z (fractional)
Ta  0.0000  0.0000  0.0000  3 Au 2.87, 9 Ta 2.93-2.99
Ta  0.2466  0.2466  0.2466  3 Os 2.65, 3 Ta 2.93
Os  0.5060  0.5060  0.5060  3 Ta 2.65
Au  0.7506  0.7506  0.7506  3 Ta 2.87, 3 Os 2.97, 6 Au 2.99

Summary:
For the volume, the calculation gives 70 Å³ per cell. As for the energy relative to the lowest polymorph listed for this composition: 328 meV per atom. The calculation puts the formation energy at 0.185 eV per atom.

Computed, not measured: a geometry-optimized Ba3AuS structure at the GGA-PBE level of DFT.

a b c (Å): 6.0373 6.0373 6.0373
angles (deg): 90.00 90.00 90.00
Last column: nearest neighbours and their distance in Å.
Element x y z (fractional)
Ba  0.0000  0.0000  0.5000  2 S 3.02
Ba  0.0000  0.5000  0.0000  2 S 3.02
Ba  0.5000  0.0000  0.0000  2 S 3.02
Au  0.5000  0.5000  0.5000  12 Ba 4.27
S  0.0000  0.0000  0.0000  6 Ba 3.02

Summary:
For the volume, the calculation gives 220 Å³ per cell. As for the energy relative to the lowest polymorph listed for this composition: 0 meV per atom. For the formation energy (no corrections), the calculation gives -0.7679 eV per atom.